! HfPd6Au | Alexandria | GGA-PBE | relaxed; values from VASP
&SYSTEM
  ibrav = 0, nat = 8, ntyp = 3
/
ATOMIC_SPECIES
Pd 106.42 Pd.upf
Au 196.97 Au.upf
Hf 178.49 Hf.upf
ATOMIC_POSITIONS crystal
Pd 0.046 0.532 0.173
Au 0.000 0.000 0.000
Hf 0.500 0.500 0.500
Pd 0.536 0.752 0.664
Pd 0.752 0.957 0.758
Pd 0.954 0.468 0.827
Pd 0.248 0.043 0.242
Pd 0.464 0.248 0.336
CELL_PARAMETERS angstrom
6.983 0.355 -0.172
3.796 6.519 0.036
3.454 2.368 2.980
! Space-group type   P-1
! DOS at the Fermi energy   4.2 states/eV/cell
! Raw total energy   -5.884 eV per atom
! Formation energy from the elements   -2.69 eV per formula unit
! M_tot   0.00 μB per cell
! Relative energy among the computed polymorphs   156.5 meV per atom
! Crystal system   triclinic